No. 1
This record from Alexandria describes a geometry-optimized Hg3SBr4 structure. The functional is PBE.

The structure in CIF format:
```
data_Hg3SBr4
_chemical_formula_sum 'Hg12 S4 Br16'
_space_group_name_H-M_alt 'C 1 c 1'
_space_group_IT_number 9
_cell_length_a 14.592
_cell_length_b 7.586
_cell_length_c 11.423
_cell_angle_alpha 90.00
_cell_angle_beta 118.64
_cell_angle_gamma 90.00
loop_
_space_group_symop_operation_xyz
'x,y,z'
'x,-y,z+1/2'
'x+1/2,y+1/2,z'
'x+1/2,-y+1/2,z+1/2'
loop_
_atom_site_label
_atom_site_fract_x
_atom_site_fract_y
_atom_site_fract_z
Hg1 0.000 0.158 0.000
Hg2 0.059 0.267 0.364
Hg3 0.384 0.250 0.024
S1 0.055 0.157 0.561
Br1 0.144 0.371 0.226
Br2 0.204 0.138 0.935
Br3 0.374 0.371 0.634
Br4 0.423 0.104 0.319
```

Output
The uncorrected formation energy is -0.359 eV per atom. The crystal system is monoclinic. For the total energy, the calculation gives -58.40 eV per cell.

No. 2
This record from Alexandria describes a geometry-optimized Hg3S2Br2 structure. The functional is PBE.

The structure in CIF format:
```
data_Hg3S2Br2
_chemical_formula_sum 'Hg24 S16 Br16'
_space_group_name_H-M_alt 'C 1 2/m 1'
_space_group_IT_number 12
_cell_length_a 18.559
_cell_length_b 9.447
_cell_length_c 10.645
_cell_angle_alpha 90.00
_cell_angle_beta 115.69
_cell_angle_gamma 90.00
loop_
_space_group_symop_operation_xyz
'x,y,z'
'-x,-y,-z'
'-x,y,-z'
'x,-y,z'
'x+1/2,y+1/2,z'
'-x+1/2,-y+1/2,-z'
'-x+1/2,y+1/2,-z'
'x+1/2,-y+1/2,z'
loop_
_atom_site_label
_atom_site_fract_x
_atom_site_fract_y
_atom_site_fract_z
Hg1 0.073 0.232 0.295
Hg2 0.076 0.500 0.727
Hg3 0.130 0.237 0.004
Hg4 0.216 0.500 0.283
S1 0.069 0.243 0.750
S2 0.194 0.243 0.258
Br1 0.000 0.000 0.000
Br2 0.000 0.500 0.000
Br3 0.117 0.500 0.485
Br4 0.120 0.000 0.497
Br5 0.249 0.500 0.002
```

Output
The uncorrected formation energy is -0.309 eV per atom. The crystal system is monoclinic. For the total energy, the calculation gives -117.34 eV per cell. The offset from the most stable computed form comes out at 0 meV/atom.

No. 3
This record from Alexandria describes a geometry-optimized HgSBr2 structure. The functional is PBE.

The structure in CIF format:
```
data_HgSBr2
_chemical_formula_sum 'Hg1 S1 Br2'
_space_group_name_H-M_alt 'P 1'
_space_group_IT_number 1
_cell_length_a 4.244
_cell_length_b 4.329
_cell_length_c 8.041
_cell_angle_alpha 87.71
_cell_angle_beta 79.37
_cell_angle_gamma 71.76
loop_
_space_group_symop_operation_xyz
'x,y,z'
loop_
_atom_site_label
_atom_site_fract_x
_atom_site_fract_y
_atom_site_fract_z
Hg1 0.000 0.000 0.000
S1 0.382 0.266 0.840
Br1 0.514 0.039 0.583
Br2 0.707 0.685 0.214
```

Output
The uncorrected formation energy is -0.146 eV per atom. The crystal system is triclinic. For the total energy, the calculation gives -8.36 eV per cell. The offset from the most stable computed form comes out at 0 meV/atom.

No. 4
This record from Alexandria describes a geometry-optimized Hg2SBr structure. The functional is PBE.

The structure in CIF format:
```
data_Hg2SBr
_chemical_formula_sum 'Hg6 S3 Br3'
_space_group_name_H-M_alt 'R -3 m'
_space_group_IT_number 166
_space_group_name_Hall '-R 3 2"'
_cell_length_a 4.1843
_cell_length_b 4.1843
_cell_length_c 24.4490
_cell_angle_alpha 90.00
_cell_angle_beta 90.00
_cell_angle_gamma 120.00
loop_
_atom_site_label
_atom_site_fract_x
_atom_site_fract_y
_atom_site_fract_z
Hg1 0.0000 0.0000 0.1092
S1 0.0000 0.0000 0.5000
Br1 0.0000 0.0000 0.0000
```

Output
The uncorrected formation energy is -0.039 eV per atom. The crystal system is trigonal. For the total energy, the calculation gives -19.68 eV per cell. The offset from the most stable computed form comes out at 187 meV/atom.

No. 5
This record from Alexandria describes a geometry-optimized HgSBr2 structure. The functional is PBE.

The structure in CIF format:
```
data_HgSBr2
_chemical_formula_sum 'Hg4 S4 Br8'
_space_group_name_H-M_alt 'F m -3 m'
_space_group_IT_number 225
_space_group_name_Hall '-F 4 2 3'
_cell_length_a 7.362
_cell_length_b 7.362
_cell_length_c 7.362
_cell_angle_alpha 90.00
_cell_angle_beta 90.00
_cell_angle_gamma 90.00
loop_
_atom_site_label
_atom_site_fract_x
_atom_site_fract_y
_atom_site_fract_z
Hg1 0.000 0.000 0.000
S1 0.000 0.000 0.500
Br1 0.250 0.250 0.250
```

Output
The uncorrected formation energy is 0.563 eV per atom. The crystal system is cubic. For the total energy, the calculation gives -22.09 eV per cell. The offset from the most stable computed form comes out at 710 meV/atom.

No. 6
This record from Alexandria describes a geometry-optimized HgS2Br structure. The functional is PBE.

The structure in CIF format:
```
data_HgS2Br
_chemical_formula_sum 'Hg3 S6 Br3'
_space_group_name_H-M_alt 'R -3 m'
_space_group_IT_number 166
_space_group_name_Hall '-R 3 2"'
_cell_length_a 3.1519
_cell_length_b 3.1519
_cell_length_c 34.6093
_cell_angle_alpha 90.00
_cell_angle_beta 90.00
_cell_angle_gamma 120.00
loop_
_atom_site_label
_atom_site_fract_x
_atom_site_fract_y
_atom_site_fract_z
Hg1 0.0000 0.0000 0.0000
S1 0.0000 0.0000 0.0684
Br1 0.0000 0.0000 0.5000
```

Output
The uncorrected formation energy is 0.629 eV per atom. The crystal system is trigonal. For the total energy, the calculation gives -23.14 eV per cell. The offset from the most stable computed form comes out at 658 meV/atom.

No. 7
This record from Alexandria describes a geometry-optimized Hg2SBr structure. The functional is PBE.

The structure in CIF format:
```
data_Hg2SBr
_chemical_formula_sum 'Hg8 S4 Br4'
_space_group_name_H-M_alt 'I -4 2 d'
_space_group_IT_number 122
_space_group_name_Hall 'I -4 2bw'
_cell_length_a 6.324
_cell_length_b 6.324
_cell_length_c 13.409
_cell_angle_alpha 90.00
_cell_angle_beta 90.00
_cell_angle_gamma 90.00
loop_
_atom_site_label
_atom_site_fract_x
_atom_site_fract_y
_atom_site_fract_z
Hg1 0.189 0.250 0.125
S1 0.000 0.000 0.000
Br1 0.000 0.000 0.500
```

Output
The uncorrected formation energy is -0.110 eV per atom. The crystal system is tetragonal. For the total energy, the calculation gives -27.38 eV per cell. The offset from the most stable computed form comes out at 115 meV/atom.

No. 8
This record from Alexandria describes a geometry-optimized Hg12S3Br5 structure. The functional is PBE.

The structure in CIF format:
```
data_Hg12S3Br5
_chemical_formula_sum 'Hg96 S24 Br40'
_space_group_name_H-M_alt 'I a -3 d'
_space_group_IT_number 230
_space_group_name_Hall '-I 4bd 2c 3'
_cell_length_a 17.875
_cell_length_b 17.875
_cell_length_c 17.875
_cell_angle_alpha 90.00
_cell_angle_beta 90.00
_cell_angle_gamma 90.00
loop_
_atom_site_label
_atom_site_fract_x
_atom_site_fract_y
_atom_site_fract_z
Hg1 0.014 0.055 0.165
S1 0.000 0.250 0.125
Br1 0.000 0.000 0.000
Br2 0.000 0.250 0.375
```

Output
The uncorrected formation energy is 0.053 eV per atom. The crystal system is cubic. For the total energy, the calculation gives -186.47 eV per cell.